[1]
# TaHgPO2 | the Alexandria database | GGA-PBE | optimized geometry
# E_form (uncorrected): -32.42 kcal/mol of atoms
# Uncorrected energy: -6.902 eV per atom
# D(E_F): 1.51 states/eV per cell
data_TaHgPO2
_space_group_name_H-M_alt 'P 4/m m m'
_space_group_IT_number 123
_space_group_name_Hall '-P 4 2'
_cell_length_a 3.9072
_cell_length_b 3.9072
_cell_length_c 5.3822
_cell_angle_alpha 90.00
_cell_angle_beta 90.00
_cell_angle_gamma 90.00
loop_
_atom_site_label
_atom_site_type_symbol
_atom_site_fract_x
_atom_site_fract_y
_atom_site_fract_z
Ta1 Ta 0.0000 0.0000 0.0000
Hg1 Hg 0.5000 0.5000 0.5000
P1 P 0.0000 0.0000 0.5000
O1 O 0.0000 0.5000 0.0000

=====

[2]
# TcHg2PO | the Alexandria database | GGA-PBE | optimized geometry
# E_form (uncorrected): 13.64 kcal/mol of atoms
# Uncorrected energy: -3.676 eV per atom
# D(E_F): 5.14 states/eV per cell
data_TcHg2PO
_space_group_name_H-M_alt 'P 4/m m m'
_space_group_IT_number 123
_space_group_name_Hall '-P 4 2'
_cell_length_a 5.1215
_cell_length_b 5.1215
_cell_length_c 3.7396
_cell_angle_alpha 90.00
_cell_angle_beta 90.00
_cell_angle_gamma 90.00
loop_
_atom_site_label
_atom_site_type_symbol
_atom_site_fract_x
_atom_site_fract_y
_atom_site_fract_z
Tc1 Tc 0.0000 0.0000 0.0000
Hg1 Hg 0.0000 0.5000 0.5000
P1 P 0.5000 0.5000 0.0000
O1 O 0.0000 0.0000 0.5000

=====

Look up the E_form (uncorrected) of the second one. 13.64 kcal/mol of atoms

=====

What is the formula in the second record? TcHg2PO

=====

What did the first record say?
# TaHgPO2 | the Alexandria database | GGA-PBE | optimized geometry
# E_form (uncorrected): -32.42 kcal/mol of atoms
# Uncorrected energy: -6.902 eV per atom
# D(E_F): 1.51 states/eV per cell
data_TaHgPO2
_space_group_name_H-M_alt 'P 4/m m m'
_space_group_IT_number 123
_space_group_name_Hall '-P 4 2'
_cell_length_a 3.9072
_cell_length_b 3.9072
_cell_length_c 5.3822
_cell_angle_alpha 90.00
_cell_angle_beta 90.00
_cell_angle_gamma 90.00
loop_
_atom_site_label
_atom_site_type_symbol
_atom_site_fract_x
_atom_site_fract_y
_atom_site_fract_z
Ta1 Ta 0.0000 0.0000 0.0000
Hg1 Hg 0.5000 0.5000 0.5000
P1 P 0.0000 0.0000 0.5000
O1 O 0.0000 0.5000 0.0000

=====

What is the formula in the first record? TaHgPO2